(1)
{
  "formula": "SbAsP2",
  "functional": "GGA-PBEsol",
  "state": "relaxed",
  "lattice": [[-1.643, 2.521, 4.489], [1.643, -2.521, 4.489], [1.643, 2.521, -4.489]],
  "species": ["Sb", "As", "P", "P"],
  "fractional_positions": [[0.000, 0.000, 0.000], [0.325, 0.825, 0.500], [0.549, 0.549, 0.000], [0.729, 0.229, 0.500]],
  "space_group": "No. 44",
  "raw_formation_energy_ev_per_atom": 0.358
}

=====

(2)
{
  "formula": "MnH3Ru",
  "functional": "GGA-PBEsol",
  "state": "relaxed",
  "lattice": [[3.400, 0.000, 0.000], [0.000, 3.400, 0.000], [0.000, 0.000, 3.400]],
  "species": ["Mn", "H", "H", "H", "Ru"],
  "fractional_positions": [[0.000, 0.000, 0.000], [0.000, 0.500, 0.500], [0.500, 0.000, 0.500], [0.500, 0.500, 0.000], [0.500, 0.500, 0.500]],
  "space_group": "No. 221"
}

=====

(3)
{
  "formula": "LaMgI5",
  "functional": "GGA-PBEsol",
  "state": "relaxed",
  "lattice": [[2.140, -7.256, 0.000], [2.140, 7.256, 0.000], [0.000, 0.000, 17.122]],
  "species": ["La", "La", "Mg", "Mg", "I", "I", "I", "I", "I", "I", "I", "I", "I", "I"],
  "fractional_positions": [[0.015, 0.985, 0.750], [0.985, 0.015, 0.250], [0.500, 0.500, 0.000], [0.500, 0.500, 0.500], [0.111, 0.889, 0.567], [0.111, 0.889, 0.933], [0.328, 0.672, 0.250], [0.396, 0.604, 0.644], [0.396, 0.604, 0.856], [0.604, 0.396, 0.144], [0.604, 0.396, 0.356], [0.672, 0.328, 0.750], [0.889, 0.111, 0.067], [0.889, 0.111, 0.433]],
  "de_polymorph_mev_per_atom": 0.0,
  "space_group": "No. 63",
  "raw_formation_energy_ev_per_atom": -1.310
}

=====

(4)
{
  "formula": "Li2OsBr",
  "functional": "GGA-PBEsol",
  "state": "relaxed",
  "lattice": [[4.385, 0.000, 0.000], [0.000, 4.385, 0.000], [0.000, 0.000, 2.988]],
  "species": ["Li", "Li", "Os", "Br"],
  "fractional_positions": [[0.000, 0.500, 0.000], [0.500, 0.000, 0.000], [0.000, 0.000, 0.500], [0.500, 0.500, 0.500]],
  "de_polymorph_mev_per_atom": 147.8,
  "space_group": "No. 123",
  "raw_formation_energy_ev_per_atom": 0.453
}

=====

(5)
{
  "formula": "LiAl2",
  "functional": "GGA-PBEsol",
  "state": "relaxed",
  "lattice": [[5.693, 0.000, 0.000], [0.000, 3.990, 0.000], [0.000, 0.000, 8.476]],
  "species": ["Li", "Li", "Li", "Li", "Al", "Al", "Al", "Al", "Al", "Al", "Al", "Al"],
  "fractional_positions": [[0.118, 0.250, 0.086], [0.382, 0.750, 0.586], [0.618, 0.250, 0.414], [0.882, 0.750, 0.914], [0.121, 0.250, 0.417], [0.136, 0.250, 0.746], [0.364, 0.750, 0.246], [0.379, 0.750, 0.917], [0.621, 0.250, 0.083], [0.636, 0.250, 0.754], [0.864, 0.750, 0.254], [0.879, 0.750, 0.583]],
  "de_polymorph_mev_per_atom": 2.3,
  "space_group": "No. 62",
  "e_form_ev_per_fu": -0.28
}

=====

(6)
{
  "formula": "Cr2IrCl",
  "functional": "GGA-PBEsol",
  "state": "relaxed",
  "lattice": [[0.000, 2.953, 2.953], [2.953, 0.000, 2.953], [2.953, 2.953, 0.000]],
  "species": ["Cr", "Cr", "Ir", "Cl"],
  "fractional_positions": [[0.250, 0.250, 0.250], [0.750, 0.750, 0.750], [0.000, 0.000, 0.000], [0.500, 0.500, 0.500]],
  "de_polymorph_mev_per_atom": 224.0,
  "space_group": "No. 225",
  "raw_formation_energy_ev_per_atom": 0.700
}

=====

(7)
{
  "formula": "K2BaCa",
  "functional": "GGA-PBEsol",
  "state": "relaxed",
  "lattice": [[2.338, -3.389, 0.000], [2.338, 3.389, 0.000], [0.000, 0.000, 14.348]],
  "species": ["K", "K", "Ba", "Ca"],
  "fractional_positions": [[0.000, 0.000, 0.000], [0.500, 0.500, 0.275], [0.000, 0.000, 0.538], [0.500, 0.500, 0.759]],
  "de_polymorph_mev_per_atom": 0.0,
  "space_group": "No. 35",
  "e_form_ev_per_fu": 0.35
}

=====

(8)
{
  "formula": "LaIr2",
  "functional": "GGA-PBEsol",
  "state": "relaxed",
  "lattice": [[1.902, -9.826, 0.000], [1.902, 9.826, 0.000], [0.000, 0.000, 3.807]],
  "species": ["La", "La", "Ir", "Ir", "Ir", "Ir"],
  "fractional_positions": [[0.161, 0.839, 0.750], [0.839, 0.161, 0.250], [0.051, 0.949, 0.250], [0.454, 0.546, 0.250], [0.546, 0.454, 0.750], [0.949, 0.051, 0.750]],
  "space_group": "No. 63",
  "e_form_ev_per_fu": -0.04
}

=====

(9)
{
  "formula": "Ba2InPb",
  "functional": "GGA-PBEsol",
  "state": "relaxed",
  "lattice": [[5.918, 0.000, 0.000], [0.000, 5.918, 0.000], [0.000, 0.000, 4.248]],
  "species": ["Ba", "Ba", "In", "Pb"],
  "fractional_positions": [[0.000, 0.500, 0.000], [0.500, 0.000, 0.000], [0.000, 0.000, 0.500], [0.500, 0.500, 0.500]],
  "de_polymorph_mev_per_atom": 58.9,
  "space_group": "No. 123",
  "e_form_ev_per_fu": -1.85
}

=====

(10)
{
  "formula": "TlAg2PdN",
  "functional": "GGA-PBEsol",
  "state": "relaxed",
  "lattice": [[4.111, 0.000, 0.000], [0.000, 4.111, 0.000], [0.000, 0.000, 5.018]],
  "species": ["Tl", "Ag", "Ag", "Pd", "N"],
  "fractional_positions": [[0.000, 0.000, 0.000], [0.000, 0.500, 0.500], [0.500, 0.000, 0.500], [0.500, 0.500, 0.000], [0.000, 0.000, 0.500]],
  "space_group": "No. 123",
  "raw_formation_energy_ev_per_atom": 0.538
}

=====

(11)
{
  "formula": "Sr2TaTe",
  "functional": "GGA-PBEsol",
  "state": "relaxed",
  "lattice": [[3.451, 0.000, 0.000], [0.000, 3.451, 0.000], [0.000, 0.000, 9.686]],
  "species": ["Sr", "Sr", "Ta", "Te"],
  "fractional_positions": [[0.000, 0.000, 0.245], [0.000, 0.000, 0.755], [0.500, 0.500, 0.500], [0.500, 0.500, 0.000]],
  "de_polymorph_mev_per_atom": 0.0,
  "space_group": "No. 123",
  "raw_formation_energy_ev_per_atom": 0.208
}

=====

(12)
{
  "formula": "KLi2Bi2",
  "functional": "GGA-PBEsol",
  "state": "relaxed",
  "lattice": [[9.071, 0.000, 0.000], [0.000, 9.071, 0.000], [0.000, 0.000, 3.288]],
  "species": ["K", "K", "Li", "Li", "Li", "Li", "Bi", "Bi", "Bi", "Bi"],
  "fractional_positions": [[0.000, 0.000, 0.000], [0.500, 0.500, 0.000], [0.138, 0.362, 0.500], [0.362, 0.862, 0.500], [0.638, 0.138, 0.500], [0.862, 0.638, 0.500], [0.146, 0.646, 0.000], [0.354, 0.146, 0.000], [0.646, 0.854, 0.000], [0.854, 0.354, 0.000]],
  "de_polymorph_mev_per_atom": 6.4,
  "space_group": "No. 127",
  "e_form_ev_per_fu": -1.90
}

=====

Calculated volume / Å³/f.u.: 74.4; 39.3; 265.9; 57.4; 48.1; 51.5; 227.4; 71.2; 148.8; 84.8; 115.4; 135.3
Final energy / eV/atom: -4.95; -5.78; -3.58; -4.05; -3.48; -7.38; -1.55; -8.34; -3.28; -4.21; -4.73; -3.11